i) {"formula": "LiVF3", "functional": "GGA-PBEsol", "state": "relaxed", "lattice": [[5.5866, 0.0000, 0.0000], [0.0000, 18.4997, 0.0000], [0.0000, 0.0000, 9.1907]], "species": ["Li", "Li", "Li", "Li", "Li", "Li", "Li", "Li", "Li", "Li", "Li", "Li", "Li", "Li", "Li", "Li", "V", "V", "V", "V", "V", "V", "V", "V", "V", "V", "V", "V", "V", "V", "V", "V", "F", "F", "F", "F", "F", "F", "F", "F", "F", "F", "F", "F", "F", "F", "F", "F", "F", "F", "F", "F", "F", "F", "F", "F", "F", "F", "F", "F", "F", "F", "F", "F", "F", "F", "F", "F", "F", "F", "F", "F", "F", "F", "F", "F", "F", "F", "F", "F"], "frac_coords": [[0.0591, 0.2225, 0.1743], [0.0591, 0.2775, 0.6743], [0.1702, 0.5418, 0.3300], [0.1702, 0.9582, 0.8300], [0.3298, 0.0418, 0.3300], [0.3298, 0.4582, 0.8300], [0.4409, 0.7225, 0.1743], [0.4409, 0.7775, 0.6743], [0.5591, 0.2225, 0.3257], [0.5591, 0.2775, 0.8257], [0.6702, 0.5418, 0.1700], [0.6702, 0.9582, 0.6700], [0.8298, 0.0418, 0.1700], [0.8298, 0.4582, 0.6700], [0.9409, 0.7225, 0.3257], [0.9409, 0.7775, 0.8257], [0.1646, 0.6189, 0.6576], [0.1646, 0.8811, 0.1576], [0.1737, 0.6203, 0.0167], [0.1737, 0.8797, 0.5167], [0.3263, 0.1203, 0.0167], [0.3263, 0.3797, 0.5167], [0.3354, 0.1189, 0.6576], [0.3354, 0.3811, 0.1576], [0.6646, 0.6189, 0.8424], [0.6646, 0.8811, 0.3424], [0.6737, 0.6203, 0.4833], [0.6737, 0.8797, 0.9833], [0.8263, 0.1203, 0.4833], [0.8263, 0.3797, 0.9833], [0.8354, 0.1189, 0.8424], [0.8354, 0.3811, 0.3424], [0.0050, 0.1730, 0.6652], [0.0050, 0.3270, 0.1652], [0.0088, 0.1754, 0.9964], [0.0088, 0.3246, 0.4964], [0.1213, 0.6935, 0.1759], [0.1213, 0.8065, 0.6759], [0.1540, 0.0586, 0.1649], [0.1540, 0.4414, 0.6649], [0.1555, 0.0701, 0.4930], [0.1555, 0.4299, 0.9930], [0.1709, 0.0652, 0.8331], [0.1709, 0.4348, 0.3331], [0.3291, 0.5652, 0.8331], [0.3291, 0.9348, 0.3331], [0.3445, 0.5701, 0.4930], [0.3445, 0.9299, 0.9930], [0.3460, 0.5586, 0.1649], [0.3460, 0.9414, 0.6649], [0.3787, 0.1935, 0.1759], [0.3787, 0.3065, 0.6759], [0.4912, 0.6754, 0.9964], [0.4912, 0.8246, 0.4964], [0.4950, 0.6730, 0.6652], [0.4950, 0.8270, 0.1652], [0.5050, 0.1730, 0.8348], [0.5050, 0.3270, 0.3348], [0.5088, 0.1754, 0.5036], [0.5088, 0.3246, 0.0036], [0.6213, 0.6935, 0.3241], [0.6213, 0.8065, 0.8241], [0.6540, 0.0586, 0.3351], [0.6540, 0.4414, 0.8351], [0.6555, 0.0701, 0.0070], [0.6555, 0.4299, 0.5070], [0.6709, 0.0652, 0.6669], [0.6709, 0.4348, 0.1669], [0.8291, 0.5652, 0.6669], [0.8291, 0.9348, 0.1669], [0.8445, 0.5701, 0.0070], [0.8445, 0.9299, 0.5070], [0.8460, 0.5586, 0.3351], [0.8460, 0.9414, 0.8351], [0.8787, 0.1935, 0.3241], [0.8787, 0.3065, 0.8241], [0.9912, 0.6754, 0.5036], [0.9912, 0.8246, 0.0036], [0.9950, 0.6730, 0.8348], [0.9950, 0.8270, 0.3348]], "space_group": "Pbca (61)"}

---

ii) {"formula": "LiVF3", "functional": "GGA-PBEsol", "state": "relaxed", "lattice": [[2.5709, 1.4843, 4.6602], [-2.5709, 1.4843, 4.6602], [0.0000, -2.9687, 4.6602]], "species": ["Li", "Li", "V", "V", "F", "F", "F", "F", "F", "F"], "frac_coords": [[0.0000, 0.0000, 0.0000], [0.5000, 0.5000, 0.5000], [0.2062, 0.2062, 0.2062], [0.7062, 0.7062, 0.7062], [0.1171, 0.4235, 0.8002], [0.3002, 0.9235, 0.6171], [0.4235, 0.8002, 0.1171], [0.6171, 0.3002, 0.9235], [0.8002, 0.1171, 0.4235], [0.9235, 0.6171, 0.3002]], "space_group": "R3c (161)"}

---

iii) {"formula": "LiVF3", "functional": "GGA-PBEsol", "state": "relaxed", "lattice": [[5.4071, -4.5343, 0.0000], [5.4071, 4.5343, 0.0000], [-2.4706, 0.0000, 5.0577]], "species": ["Li", "Li", "Li", "Li", "V", "V", "V", "V", "F", "F", "F", "F", "F", "F", "F", "F", "F", "F", "F", "F"], "frac_coords": [[0.1236, 0.2661, 0.1624], [0.2661, 0.1236, 0.6624], [0.7339, 0.8764, 0.3376], [0.8764, 0.7339, 0.8376], [0.2357, 0.7643, 0.2500], [0.4047, 0.5953, 0.7500], [0.5953, 0.4047, 0.2500], [0.7643, 0.2357, 0.7500], [0.0617, 0.2235, 0.8008], [0.1460, 0.6511, 0.8445], [0.2235, 0.0617, 0.3008], [0.3144, 0.4758, 0.3305], [0.3489, 0.8540, 0.6555], [0.4758, 0.3144, 0.8305], [0.5242, 0.6856, 0.1695], [0.6511, 0.1460, 0.3445], [0.6856, 0.5242, 0.6695], [0.7765, 0.9383, 0.6992], [0.8540, 0.3489, 0.1555], [0.9383, 0.7765, 0.1992]], "space_group": "C2/c (15)"}

---

Which of them is least stable? Easy: iii).

---

i) {"formula": "LiVF5", "functional": "GGA-PBEsol", "state": "relaxed", "lattice": [[8.7624, 0.0000, 0.0000], [0.0000, 6.2429, 0.0000], [0.0000, 0.0000, 6.0312]], "species": ["Li", "Li", "Li", "Li", "V", "V", "V", "V", "F", "F", "F", "F", "F", "F", "F", "F", "F", "F", "F", "F", "F", "F", "F", "F", "F", "F", "F", "F"], "frac_coords": [[0.1141, 0.2500, 0.2500], [0.3859, 0.7500, 0.2500], [0.6141, 0.2500, 0.7500], [0.8859, 0.7500, 0.7500], [0.2500, 0.0000, 0.6710], [0.2500, 0.5000, 0.8290], [0.7500, 0.0000, 0.3290], [0.7500, 0.5000, 0.1710], [0.0457, 0.5415, 0.7940], [0.0457, 0.9585, 0.7060], [0.2251, 0.1912, 0.9269], [0.2251, 0.3088, 0.5731], [0.2500, 0.0000, 0.3716], [0.2500, 0.5000, 0.1284], [0.2749, 0.6912, 0.5731], [0.2749, 0.8088, 0.9269], [0.4543, 0.0415, 0.7060], [0.4543, 0.4585, 0.7940], [0.5457, 0.5415, 0.2060], [0.5457, 0.9585, 0.2940], [0.7251, 0.1912, 0.0731], [0.7251, 0.3088, 0.4269], [0.7500, 0.0000, 0.6284], [0.7500, 0.5000, 0.8716], [0.7749, 0.6912, 0.4269], [0.7749, 0.8088, 0.0731], [0.9543, 0.0415, 0.2940], [0.9543, 0.4585, 0.2060]], "space_group": "Pnna (52)"}

---

ii) {"formula": "LiVF5", "functional": "GGA-PBEsol", "state": "relaxed", "lattice": [[4.9845, 0.0000, 0.0000], [0.0000, 6.3239, 0.0000], [0.0000, 0.0000, 11.2448]], "species": ["Li", "Li", "Li", "Li", "V", "V", "V", "V", "F", "F", "F", "F", "F", "F", "F", "F", "F", "F", "F", "F", "F", "F", "F", "F", "F", "F", "F", "F"], "frac_coords": [[0.0839, 0.0887, 0.2076], [0.4161, 0.9113, 0.7076], [0.5839, 0.4113, 0.7924], [0.9161, 0.5887, 0.2924], [0.1539, 0.4025, 0.5815], [0.3461, 0.5975, 0.0815], [0.6539, 0.0975, 0.4185], [0.8461, 0.9025, 0.9185], [0.0243, 0.6614, 0.9880], [0.0546, 0.5565, 0.4555], [0.1397, 0.9296, 0.8292], [0.1809, 0.7695, 0.1906], [0.1896, 0.3745, 0.1560], [0.3104, 0.6255, 0.6560], [0.3191, 0.2305, 0.6906], [0.3603, 0.0704, 0.3292], [0.4454, 0.4435, 0.9555], [0.4757, 0.3386, 0.4880], [0.5243, 0.8386, 0.0120], [0.5546, 0.9435, 0.5445], [0.6397, 0.5704, 0.1708], [0.6809, 0.7305, 0.8094], [0.6896, 0.1255, 0.8440], [0.8104, 0.8745, 0.3440], [0.8191, 0.2695, 0.3094], [0.8603, 0.4296, 0.6708], [0.9454, 0.0565, 0.0445], [0.9757, 0.1614, 0.5120]], "space_group": "P2_12_12_1 (19)"}

---

Which of them is least stable? Easy: i).

---

i) {"formula": "LiVF5", "functional": "GGA-PBEsol", "state": "relaxed", "lattice": [[5.9165, 0.0000, 0.0000], [0.0000, 8.5090, 0.0000], [-5.5981, 0.0000, 6.9102]], "species": ["Li", "Li", "Li", "Li", "V", "V", "V", "V", "F", "F", "F", "F", "F", "F", "F", "F", "F", "F", "F", "F", "F", "F", "F", "F", "F", "F", "F", "F"], "frac_coords": [[0.1147, 0.0541, 0.3234], [0.1147, 0.4459, 0.8234], [0.8853, 0.5541, 0.1766], [0.8853, 0.9459, 0.6766], [0.4121, 0.1336, 0.0746], [0.4121, 0.3664, 0.5746], [0.5879, 0.6336, 0.4254], [0.5879, 0.8664, 0.9254], [0.0738, 0.1319, 0.8268], [0.0738, 0.3681, 0.3268], [0.2260, 0.6109, 0.1979], [0.2260, 0.8891, 0.6979], [0.2409, 0.1282, 0.1829], [0.2409, 0.3718, 0.6829], [0.3997, 0.5948, 0.5410], [0.3997, 0.9052, 0.0410], [0.4274, 0.1538, 0.5604], [0.4274, 0.3462, 0.0604], [0.5726, 0.6538, 0.9396], [0.5726, 0.8462, 0.4396], [0.6003, 0.0948, 0.9590], [0.6003, 0.4052, 0.4590], [0.7591, 0.6282, 0.3171], [0.7591, 0.8718, 0.8171], [0.7740, 0.1109, 0.3021], [0.7740, 0.3891, 0.8021], [0.9262, 0.6319, 0.6732], [0.9262, 0.8681, 0.1732]], "space_group": "P2_1/c (14)"}

---

ii) {"formula": "LiVF5", "functional": "GGA-PBEsol", "state": "relaxed", "lattice": [[7.3799, 0.0000, 0.0000], [0.0000, 5.1859, 0.0000], [0.0000, 0.0000, 9.6860]], "species": ["Li", "Li", "Li", "Li", "V", "V", "V", "V", "F", "F", "F", "F", "F", "F", "F", "F", "F", "F", "F", "F", "F", "F", "F", "F", "F", "F", "F", "F"], "frac_coords": [[0.0293, 0.2500, 0.0956], [0.4707, 0.7500, 0.5956], [0.5293, 0.2500, 0.4044], [0.9707, 0.7500, 0.9044], [0.1799, 0.7500, 0.3578], [0.3201, 0.2500, 0.8578], [0.6799, 0.7500, 0.1422], [0.8201, 0.2500, 0.6422], [0.0157, 0.2500, 0.5490], [0.1488, 0.5096, 0.2251], [0.1488, 0.9904, 0.2251], [0.1605, 0.0207, 0.9361], [0.1605, 0.4793, 0.9361], [0.3395, 0.5207, 0.4361], [0.3395, 0.9793, 0.4361], [0.3512, 0.0096, 0.7251], [0.3512, 0.4904, 0.7251], [0.4843, 0.7500, 0.0490], [0.5157, 0.2500, 0.9510], [0.6488, 0.5096, 0.2749], [0.6488, 0.9904, 0.2749], [0.6605, 0.0207, 0.5639], [0.6605, 0.4793, 0.5639], [0.8395, 0.5207, 0.0639], [0.8395, 0.9793, 0.0639], [0.8512, 0.0096, 0.7749], [0.8512, 0.4904, 0.7749], [0.9843, 0.7500, 0.4510]], "space_group": "Pnma (62)"}

---

Which of them is least stable? Easy: ii).

---

i) {"formula": "LiVF5", "functional": "GGA-PBEsol", "state": "relaxed", "lattice": [[4.6537, -3.5251, 0.0000], [4.6537, 3.5251, 0.0000], [0.0000, 0.0000, 12.1263]], "species": ["Li", "Li", "Li", "Li", "V", "V", "V", "V", "F", "F", "F", "F", "F", "F", "F", "F", "F", "F", "F", "F", "F", "F", "F", "F", "F", "F", "F", "F"], "frac_coords": [[0.1571, 0.1571, 0.0000], [0.3429, 0.3429, 0.5000], [0.6571, 0.6571, 0.5000], [0.8429, 0.8429, 0.0000], [0.1711, 0.8289, 0.5836], [0.3289, 0.6711, 0.0836], [0.6711, 0.3289, 0.9164], [0.8289, 0.1711, 0.4164], [0.0196, 0.9804, 0.6945], [0.0306, 0.6749, 0.1247], [0.1332, 0.1332, 0.5000], [0.1749, 0.5306, 0.6247], [0.1817, 0.8183, 0.9544], [0.3183, 0.6817, 0.4544], [0.3251, 0.9694, 0.1247], [0.3668, 0.3668, 0.0000], [0.4694, 0.8251, 0.6247], [0.4804, 0.5196, 0.1945], [0.5196, 0.4804, 0.8055], [0.5306, 0.1749, 0.3753], [0.6332, 0.6332, 0.0000], [0.6749, 0.0306, 0.8753], [0.6817, 0.3183, 0.5456], [0.8183, 0.1817, 0.0456], [0.8251, 0.4694, 0.3753], [0.8668, 0.8668, 0.5000], [0.9694, 0.3251, 0.8753], [0.9804, 0.0196, 0.3055]], "space_group": "Cmce (64)"}

---

ii) {"formula": "LiVF5", "functional": "GGA-PBEsol", "state": "relaxed", "lattice": [[4.0794, -3.2417, 0.0000], [4.0794, 3.2417, 0.0000], [-3.4494, 0.0000, 6.5854]], "species": ["Li", "Li", "V", "V", "F", "F", "F", "F", "F", "F", "F", "F", "F", "F"], "frac_coords": [[0.0447, 0.9553, 0.7500], [0.9553, 0.0447, 0.2500], [0.5000, 0.5000, 0.0000], [0.5000, 0.5000, 0.5000], [0.2020, 0.7513, 0.5357], [0.2214, 0.2807, 0.8683], [0.2487, 0.7980, 0.9643], [0.2807, 0.2214, 0.3683], [0.4411, 0.5589, 0.2500], [0.5589, 0.4411, 0.7500], [0.7193, 0.7786, 0.6317], [0.7513, 0.2020, 0.0357], [0.7786, 0.7193, 0.1317], [0.7980, 0.2487, 0.4643]], "space_group": "C2/c (15)"}

---

Which of them is least stable? Easy: i).

---

i) {"formula": "Li4VF8", "functional": "GGA-PBEsol", "state": "relaxed", "lattice": [[9.2566, 0.0000, 0.0000], [0.0000, 9.2241, 0.0000], [0.0000, 0.0000, 5.5467]], "species": ["Li", "Li", "Li", "Li", "Li", "Li", "Li", "Li", "Li", "Li", "Li", "Li", "Li", "Li", "Li", "Li", "V", "V", "V", "V", "F", "F", "F", "F", "F", "F", "F", "F", "F", "F", "F", "F", "F", "F", "F", "F", "F", "F", "F", "F", "F", "F", "F", "F", "F", "F", "F", "F", "F", "F", "F", "F"], "frac_coords": [[0.1072, 0.0805, 0.1283], [0.1072, 0.4195, 0.1283], [0.1305, 0.0636, 0.6181], [0.1305, 0.4364, 0.6181], [0.3695, 0.5636, 0.1181], [0.3695, 0.9364, 0.1181], [0.3928, 0.5805, 0.6283], [0.3928, 0.9195, 0.6283], [0.6072, 0.0805, 0.3717], [0.6072, 0.4195, 0.3717], [0.6305, 0.0636, 0.8819], [0.6305, 0.4364, 0.8819], [0.8695, 0.5636, 0.3819], [0.8695, 0.9364, 0.3819], [0.8928, 0.5805, 0.8717], [0.8928, 0.9195, 0.8717], [0.1340, 0.7500, 0.3740], [0.3660, 0.2500, 0.8740], [0.6340, 0.7500, 0.1260], [0.8660, 0.2500, 0.6260], [0.0230, 0.6203, 0.1570], [0.0230, 0.8797, 0.1570], [0.0254, 0.6250, 0.5947], [0.0254, 0.8750, 0.5947], [0.2276, 0.2500, 0.1249], [0.2340, 0.2500, 0.6185], [0.2356, 0.5404, 0.3754], [0.2356, 0.9596, 0.3754], [0.2644, 0.0404, 0.8754], [0.2644, 0.4596, 0.8754], [0.2660, 0.7500, 0.1185], [0.2724, 0.7500, 0.6249], [0.4746, 0.1250, 0.0947], [0.4746, 0.3750, 0.0947], [0.4770, 0.1203, 0.6570], [0.4770, 0.3797, 0.6570], [0.5230, 0.6203, 0.3430], [0.5230, 0.8797, 0.3430], [0.5254, 0.6250, 0.9053], [0.5254, 0.8750, 0.9053], [0.7276, 0.2500, 0.3751], [0.7340, 0.2500, 0.8815], [0.7356, 0.5404, 0.1246], [0.7356, 0.9596, 0.1246], [0.7644, 0.0404, 0.6246], [0.7644, 0.4596, 0.6246], [0.7660, 0.7500, 0.3815], [0.7724, 0.7500, 0.8751], [0.9746, 0.1250, 0.4053], [0.9746, 0.3750, 0.4053], [0.9770, 0.1203, 0.8430], [0.9770, 0.3797, 0.8430]], "space_group": "Pnma (62)"}

---

ii) {"formula": "Li4VF8", "functional": "GGA-PBEsol", "state": "relaxed", "lattice": [[5.0316, 0.0000, 0.0000], [0.0000, 5.9825, 0.0000], [-1.8649, 0.0000, 4.7930]], "species": ["Li", "Li", "Li", "Li", "V", "F", "F", "F", "F", "F", "F", "F", "F"], "frac_coords": [[0.0000, 0.0000, 0.0000], [0.0000, 0.1998, 0.5000], [0.0000, 0.7607, 0.5000], [0.5000, 0.8143, 0.0000], [0.0000, 0.4894, 0.0000], [0.2013, 0.9765, 0.7581], [0.2053, 0.5083, 0.7661], [0.2103, 0.2688, 0.2295], [0.2369, 0.7164, 0.2118], [0.7631, 0.7164, 0.7882], [0.7897, 0.2688, 0.7705], [0.7947, 0.5083, 0.2339], [0.7987, 0.9765, 0.2419]], "space_group": "P2 (3)"}

---

Which of them is least stable? Easy: i).